Crystalline ErMgIrO6 at its relaxed geometry, computed with GGA-PBE.

The mass density comes out at 7.27 g/cm3. The calculation puts the raw total energy at -60.6 eV per formula unit. For the density of states at the Fermi level, the calculation gives 11.07 states/eV/cell.

The structure belongs to space group P-31c (No. 163); the cell edges are 5.3862, 5.3862 and 8.7206 Å and the angles 90.00°, 90.00° and 120.00°. The asymmetric unit holds Er at (0.3333, 0.6667, 0.2500), Mg at (0.0000, 0.0000, 0.0000), Ir at (0.3333, 0.6667, 0.7500) and O at (0.0426, 0.3638, 0.6257).